Record 1
First-principles (PBE) data for a geometry-optimized CaCuNi2 structure, as listed in the Alexandria database.

Cell lengths 2.9105, 4.0123, 5.5259 Å; angles 90.00, 105.16, 90.00 degrees
Closest atoms and distances in Å follow each position.
Space group Pm (No. 6)
Asymmetric unit:
Ca1 0.0000 0.0000 0.0000  6 Ni 2.70-3.00, 2 Ca 2.91
Cu1 0.6887 0.5000 0.3659  6 Ni 2.46-2.60
Ni1 0.2633 0.0000 0.5055  2 Ni 2.36, 4 Cu 2.58-2.60
Ni2 0.3706 0.5000 0.7401  2 Ni 2.36, 2 Cu 2.46-2.48

Total moment = 0.00 μB/atom
ρ = 5.89 Mg/m³
Uncorrected energy = -4.260 eV/atom

---

Record 2
First-principles (PBE) data for a geometry-optimized Ca2CuNi structure, as listed in the Alexandria database.

Cell lengths 4.1918, 4.0841, 10.6395 Å; angles 90.00, 90.00, 90.00 degrees
Closest atoms and distances in Å follow each position.
Space group Amm2 (No. 38)
Asymmetric unit:
Ca1 0.0000 0.0000 0.0000  3 Ni 2.95-3.20, 4 Cu 3.06
Ca2 0.5000 0.0000 0.2834  3 Cu 2.95-3.19, 4 Ni 3.06
Cu1 0.5000 0.0000 0.5833  2 Ni 2.43
Ni1 0.0000 0.0000 0.6996  2 Cu 2.43

Total moment = 0.00 μB/atom
ρ = 3.69 Mg/m³
Uncorrected energy = -3.605 eV/atom

---

Record 3
First-principles (PBE) data for a geometry-optimized CaCuNi structure, as listed in the Alexandria database.

Cell lengths 3.0690, 3.5315, 9.6507 Å; angles 90.00, 90.00, 90.00 degrees
Closest atoms and distances in Å follow each position.
Space group Imm2 (No. 44)
Asymmetric unit:
Ca1 0.0000 0.0000 0.0000  5 Cu 2.81-3.09, 5 Ni 2.86-3.06, 2 Ca 3.07
Cu1 0.0000 0.0000 0.7085  4 Ni 2.49
Ni1 0.0000 0.0000 0.2961  4 Cu 2.49

Total moment = 0.00 μB/atom
ρ = 5.15 Mg/m³
Uncorrected energy = -3.909 eV/atom

---

Record 4
First-principles (PBE) data for a geometry-optimized CaCuNiP2 structure, as listed in the Alexandria database.

Cell lengths 3.9583, 3.9583, 9.5295 Å; angles 90.00, 90.00, 90.00 degrees
Closest atoms and distances in Å follow each position.
Space group I-4m2 (No. 119)
Asymmetric unit:
Ca1 0.0000 0.0000 0.0000  8 P 3.02, 4 Ni 3.10, 4 Cu 3.10
Cu1 0.0000 0.5000 0.7500  4 P 2.34
Ni1 0.0000 0.5000 0.2500  4 P 2.34
P1 0.0000 0.0000 0.3800  1 P 2.29, 2 Ni 2.34, 2 Cu 2.34

Total moment = 0.00 μB/atom
ρ = 4.99 Mg/m³
Uncorrected energy = -5.250 eV/atom

---

Record 5
First-principles (PBE) data for a geometry-optimized Ca2Cu2NiPd5 structure, as listed in the Alexandria database.

Cell lengths 9.4787, 9.4787, 3.7681 Å; angles 90.00, 90.00, 90.00 degrees
Closest atoms and distances in Å follow each position.
Space group P4/mbm (No. 127)
Asymmetric unit:
Ca1 0.1761 0.3239 0.0000  3 Cu 2.68-2.89
Cu1 0.1242 0.6242 0.0000  6 Pd 2.51-2.58, 1 Ca 2.68
Ni1 0.0000 0.0000 0.0000  8 Pd 2.73
Pd1 0.0000 0.5000 0.5000  4 Cu 2.51
Pd2 0.0626 0.8004 0.5000  2 Cu 2.58, 2 Ni 2.73, 2 Pd 2.80

Total moment = 0.10 μB/atom
ρ = 7.83 Mg/m³
Uncorrected energy = -4.726 eV/atom

---

Record 6
First-principles (PBE) data for a geometry-optimized CaPrCuNi structure, as listed in the Alexandria database.

Cell lengths 4.1561, 4.0263, 11.0532 Å; angles 90.00, 90.00, 90.00 degrees
Closest atoms and distances in Å follow each position.
Space group Amm2 (No. 38)
Asymmetric unit:
Ca1 0.0000 0.0000 0.0000  4 Cu 3.02, 3 Ni 3.07-3.21
Pr1 0.5000 0.0000 0.7207  4 Ni 2.99, 3 Cu 3.00-3.31
Cu1 0.5000 0.0000 0.4217  2 Ni 2.54
Ni1 0.0000 0.0000 0.2903  2 Cu 2.54

Total moment = 0.00 μB/atom
E above lowest polymorph = 0 meV/atom
ρ = 5.44 Mg/m³
Uncorrected energy = -4.359 eV/atom

---

Record 7
First-principles (PBE) data for a geometry-optimized CaPrCuNi structure, as listed in the Alexandria database.

Cell lengths 7.0443, 7.0443, 7.0443 Å; angles 90.00, 90.00, 90.00 degrees
Closest atoms and distances in Å follow each position.
Space group F-43m (No. 216)
Asymmetric unit:
Ca1 0.0000 0.0000 0.0000  4 Ni 3.05, 4 Cu 3.05
Pr1 0.0000 0.0000 0.5000  4 Ni 3.05, 4 Cu 3.05
Cu1 0.2500 0.2500 0.7500  4 Pr 3.05, 4 Ca 3.05
Ni1 0.2500 0.2500 0.2500  4 Pr 3.05, 4 Ca 3.05

Total moment = 0.00 μB/atom
E above lowest polymorph = 81 meV/atom
ρ = 5.76 Mg/m³
Uncorrected energy = -4.278 eV/atom

---

Record 8
First-principles (PBE) data for a geometry-optimized CaPr2Cu12Ni3 structure, as listed in the Alexandria database.

Cell lengths 7.9669, 7.9669, 19.6643 Å; angles 90.00, 90.00, 120.00 degrees
Closest atoms and distances in Å follow each position.
Space group R-3m (No. 166, hexagonal axes)
Asymmetric unit:
Ca1 0.0000 0.0000 0.0000  6 Cu 3.37
Pr1 0.0000 0.0000 0.4074  6 Cu 2.82-2.96
Cu1 0.0139 0.5070 0.8507  2 Ni 2.28, 2 Cu 2.49
Cu2 0.1036 0.2072 0.7243  1 Ni 2.31, 2 Cu 2.48
Ni1 0.0000 0.5000 0.5000  6 Cu 2.28-2.31

Total moment = 0.00 μB/atom
ρ = 5.81 Mg/m³
Uncorrected energy = -3.954 eV/atom

---

Record 9
First-principles (PBE) data for a geometry-optimized CaCuNiRh2 structure, as listed in the Alexandria database.

Cell lengths 4.7188, 4.7188, 4.4776 Å; angles 90.00, 90.00, 90.00 degrees
Closest atoms and distances in Å follow each position.
Space group P4/mmm (No. 123)
Asymmetric unit:
Ca1 0.0000 0.0000 0.0000  2 Ni 2.24, 4 Rh 2.36
Cu1 0.5000 0.5000 0.5000  8 Rh 3.25, 4 Ni 3.34
Ni1 0.0000 0.0000 0.5000  2 Ca 2.24
Rh1 0.0000 0.5000 0.0000  2 Ca 2.36

Total moment = 0.00 μB/atom
ρ = 6.13 Mg/m³
Uncorrected energy = -3.680 eV/atom

---

Record 10
First-principles (PBE) data for a geometry-optimized CaCuNiRu2 structure, as listed in the Alexandria database.

Cell lengths 4.5336, 4.5336, 4.9209 Å; angles 90.00, 90.00, 90.00 degrees
Closest atoms and distances in Å follow each position.
Space group P4/mmm (No. 123)
Asymmetric unit:
Ca1 0.0000 0.0000 0.0000  2 Cu 2.46
Cu1 0.0000 0.0000 0.5000  4 Ru 2.27, 2 Ca 2.46
Ni1 0.5000 0.5000 0.0000  4 Ca 3.21, 8 Ru 3.35
Ru1 0.0000 0.5000 0.5000  2 Cu 2.27

Total moment = 0.72 μB/atom
ρ = 5.98 Mg/m³
Uncorrected energy = -4.756 eV/atom

---

Record 11
First-principles (PBE) data for a geometry-optimized Ca2Cu3NiSb4 structure, as listed in the Alexandria database.

Cell lengths 4.4753, 4.4753, 10.7775 Å; angles 90.00, 90.00, 90.00 degrees
Closest atoms and distances in Å follow each position.
Space group P-4m2 (No. 115)
Asymmetric unit:
Ca1 0.0000 0.5000 0.2245  2 Ni 3.30, 6 Cu 3.30-3.49, 4 Sb 3.34
Cu1 0.0000 0.0000 0.0000  4 Sb 2.61
Cu2 0.0000 0.5000 0.6395  5 Sb 2.53-2.70
Ni1 0.5000 0.5000 0.0000  4 Sb 2.61
Sb1 0.0000 0.0000 0.5000  4 Cu 2.70
Sb2 0.0000 0.5000 0.8745  3 Cu 2.53-2.61, 2 Ni 2.61
Sb3 0.5000 0.5000 0.5000  4 Cu 2.70

Total moment = 0.00 μB/atom
ρ = 6.28 Mg/m³
Raw formation energy = -0.385 eV/atom
Uncorrected energy = -4.241 eV/atom

---

Record 12
First-principles (PBE) data for a geometry-optimized Ca2CuNi3Sb4 structure, as listed in the Alexandria database.

Cell lengths 4.4593, 4.4593, 10.3421 Å; angles 90.00, 90.00, 90.00 degrees
Closest atoms and distances in Å follow each position.
Space group P-4m2 (No. 115)
Asymmetric unit:
Ca1 0.0000 0.5000 0.2386  6 Ni 3.33-3.46, 2 Cu 3.33, 8 Sb 3.34-3.50
Cu1 0.5000 0.5000 0.0000  4 Sb 2.62
Ni1 0.0000 0.0000 0.0000  4 Sb 2.62
Ni2 0.0000 0.5000 0.6247  5 Sb 2.51-2.58
Sb1 0.0000 0.0000 0.5000  4 Ni 2.58
Sb2 0.0000 0.5000 0.8671  3 Ni 2.51-2.62, 2 Cu 2.62
Sb3 0.5000 0.5000 0.5000  4 Ni 2.58

Total moment = 0.00 μB/atom
ρ = 6.51 Mg/m³
Raw formation energy = -0.478 eV/atom
Uncorrected energy = -4.672 eV/atom

---

Record 13
First-principles (PBE) data for a geometry-optimized CaCu3NiSe4 structure, as listed in the Alexandria database.

Cell lengths 5.9018, 5.9018, 5.9018 Å; angles 90.00, 90.00, 90.00 degrees
Closest atoms and distances in Å follow each position.
Space group P-43m (No. 215)
Asymmetric unit:
Ca1 0.0000 0.0000 0.0000  4 Se 2.77
Cu1 0.0000 0.5000 0.5000  4 Se 2.49
Ni1 0.5000 0.5000 0.5000  4 Se 2.34
Se1 0.2708 0.2708 0.7292  1 Ni 2.34, 3 Cu 2.49

Total moment = 0.25 μB/atom
ρ = 4.89 Mg/m³
Raw formation energy = -0.404 eV/atom
Uncorrected energy = -4.183 eV/atom

---

Record 14
First-principles (PBE) data for a geometry-optimized Ca2CuSi4Ni3 structure, as listed in the Alexandria database.

Cell lengths 3.9894, 3.9894, 9.7216 Å; angles 90.00, 90.00, 90.00 degrees
Closest atoms and distances in Å follow each position.
Space group P-4m2 (No. 115)
Asymmetric unit:
Ca1 0.0000 0.5000 0.2485  8 Si 3.06-3.13, 6 Ni 3.06-3.16, 2 Cu 3.16
Cu1 0.0000 0.0000 0.5000  4 Si 2.37
Si1 0.0000 0.0000 0.0000  4 Ni 2.34
Si2 0.0000 0.5000 0.6307  3 Ni 2.37, 2 Cu 2.37
Si3 0.5000 0.5000 0.0000  4 Ni 2.34
Ni1 0.0000 0.5000 0.8742  5 Si 2.34-2.37
Ni2 0.5000 0.5000 0.5000  4 Si 2.37

Total moment = 0.00 μB/atom
ρ = 4.64 Mg/m³
Raw formation energy = -0.563 eV/atom
Uncorrected energy = -5.277 eV/atom

---

Record 15
First-principles (PBE) data for a geometry-optimized Ca2CuSi2Ni5 structure, as listed in the Alexandria database.

Cell lengths 9.9052, 9.9052, 2.9399 Å; angles 90.00, 90.00, 90.00 degrees
Closest atoms and distances in Å follow each position.
Space group P4/mbm (No. 127)
Asymmetric unit:
Ca1 0.1735 0.3265 0.0000  3 Si 2.78-3.02, 10 Ni 2.84-3.02, 2 Ca 2.94
Cu1 0.0000 0.0000 0.0000  8 Ni 2.54
Si1 0.1283 0.6283 0.0000  6 Ni 2.32-2.34
Ni1 0.0000 0.5000 0.5000  4 Si 2.32
Ni2 0.0610 0.7999 0.5000  2 Si 2.34, 2 Cu 2.54

Total moment = 0.00 μB/atom
ρ = 5.68 Mg/m³
Raw formation energy = -0.261 eV/atom
Uncorrected energy = -5.046 eV/atom

---

Record 16
First-principles (PBE) data for a geometry-optimized CaCuSi2Ni structure, as listed in the Alexandria database.

Cell lengths 4.0404, 4.0404, 9.7226 Å; angles 90.00, 90.00, 90.00 degrees
Closest atoms and distances in Å follow each position.
Space group I-4m2 (No. 119)
Asymmetric unit:
Ca1 0.0000 0.0000 0.0000  8 Si 3.11, 4 Ni 3.16, 4 Cu 3.16
Cu1 0.0000 0.5000 0.2500  4 Si 2.36
Si1 0.0000 0.0000 0.3749  2 Ni 2.36, 2 Cu 2.36, 1 Si 2.43
Ni1 0.0000 0.5000 0.7500  4 Si 2.36

Total moment = 0.00 μB/atom
ρ = 4.57 Mg/m³
Raw formation energy = -0.508 eV/atom
Uncorrected energy = -5.053 eV/atom

---

Record 17
First-principles (PBE) data for a geometry-optimized CaCu2SiNi structure, as listed in the Alexandria database.

Cell lengths 3.9092, 4.0589, 10.0558 Å; angles 90.00, 90.00, 90.00 degrees
Closest atoms and distances in Å follow each position.
Space group Imm2 (No. 44)
Asymmetric unit:
Ca1 0.0000 0.0000 0.0000  8 Cu 3.01-3.26, 4 Si 3.10, 4 Ni 3.20-3.21
Cu1 0.0000 0.0000 0.6060  1 Si 2.36, 2 Cu 2.46, 2 Ni 2.51
Cu2 0.0000 0.5000 0.2539  2 Si 2.35, 2 Cu 2.46
Si1 0.0000 0.0000 0.3709  2 Ni 2.28, 3 Cu 2.35-2.36
Ni1 0.0000 0.5000 0.7533  2 Si 2.28, 2 Cu 2.51

Total moment = 0.00 μB/atom
ρ = 5.29 Mg/m³
Raw formation energy = -0.275 eV/atom
Uncorrected energy = -4.555 eV/atom

---

Record 18
First-principles (PBE) data for a geometry-optimized CaSmCuNi structure, as listed in the Alexandria database.

Cell lengths 4.1179, 3.9716, 10.9511 Å; angles 90.00, 90.00, 90.00 degrees
Closest atoms and distances in Å follow each position.
Space group Amm2 (No. 38)
Asymmetric unit:
Ca1 0.0000 0.0000 0.0000  4 Cu 3.00, 3 Ni 3.07-3.13
Sm1 0.5000 0.0000 0.2802  3 Cu 2.95-3.30, 4 Ni 2.95
Cu1 0.5000 0.0000 0.5813  2 Ni 2.52
Ni1 0.0000 0.0000 0.7140  2 Cu 2.52

Total moment = 0.00 μB/atom
ρ = 5.80 Mg/m³
Uncorrected energy = -4.366 eV/atom

---

Record 19
First-principles (PBE) data for a geometry-optimized Ca2Cu12Ni3Sn structure, as listed in the Alexandria database.

Cell lengths 6.0413, 6.0413, 27.9130 Å; angles 90.00, 90.00, 120.00 degrees
Closest atoms and distances in Å follow each position.
Space group R-3m (No. 166, hexagonal axes)
Asymmetric unit:
Ca1 0.0000 0.0000 0.1421  9 Cu 3.03-3.36
Cu1 0.0472 0.5236 0.0898  4 Cu 2.41-2.59, 1 Ni 2.52, 1 Sn 2.62
Cu2 0.0731 0.5365 0.6217  2 Ni 2.33, 4 Cu 2.36-2.41
Ni1 0.0000 0.5000 0.0000  6 Cu 2.33-2.52
Sn1 0.0000 0.0000 0.5000  6 Cu 2.62

Total moment = 0.00 μB/atom
ρ = 6.42 Mg/m³
Uncorrected energy = -3.916 eV/atom

---

Record 20
First-principles (PBE) data for a geometry-optimized Ca2CuNi3Sn4 structure, as listed in the Alexandria database.

Cell lengths 4.4144, 4.4144, 10.5152 Å; angles 90.00, 90.00, 90.00 degrees
Closest atoms and distances in Å follow each position.
Space group P-4m2 (No. 115)
Asymmetric unit:
Ca1 0.0000 0.5000 0.2429  8 Sn 3.34-3.49, 2 Cu 3.38, 6 Ni 3.38-3.40
Cu1 0.5000 0.5000 0.0000  4 Sn 2.59
Ni1 0.0000 0.0000 0.0000  4 Sn 2.59
Ni2 0.0000 0.5000 0.6299  5 Sn 2.53-2.60
Sn1 0.0000 0.0000 0.5000  4 Ni 2.60
Sn2 0.0000 0.5000 0.8705  3 Ni 2.53-2.59, 2 Cu 2.59
Sn3 0.5000 0.5000 0.5000  4 Ni 2.60

Total moment = 0.00 μB/atom
ρ = 6.44 Mg/m³
Uncorrected energy = -4.523 eV/atom